[1]
Material: VSiP
Method: DFT, GGA-PBE
State: optimized geometry

Summary:
- calculated density (g/cm³) = 4.3
- total energy (eV/atom) = -7.04

Lattice parameters (Å, degrees): 7.315 3.030 8.443 90.00 114.15 90.00
Sites, in units of the cell vectors:
Si: 0.447 0.000 0.343
P: 0.098 0.000 0.891
V: 0.179 0.500 0.139
P: 0.098 0.500 0.391
V: 0.179 0.000 0.639
Si: 0.553 0.500 0.157
V: 0.821 0.500 0.861
Si: 0.553 0.000 0.657
Si: 0.447 0.500 0.843
P: 0.902 0.500 0.609
P: 0.902 0.000 0.109
V: 0.821 0.000 0.361


[2]
Material: HfGeRu3
Method: DFT, GGA-PBE
State: optimized geometry

Summary:
- relative energy among the computed polymorphs (eV per atom) = 0.000
- calculated density (g/cm³) = 10.3
- E_form (eV per atom) = 0.406

Lattice parameters (Å, degrees): 4.467 4.467 4.467 90.00 90.00 90.00
Sites, in units of the cell vectors:
Ge: 0.000 0.000 0.000
Hf: 0.500 0.500 0.500
Ru: 0.000 0.000 0.500
Ru: 0.500 0.000 0.000
Ru: 0.000 0.500 0.000


[3]
Material: NiAuBr
Method: DFT, GGA-PBE
State: optimized geometry

Summary:
- relative energy among the computed polymorphs (eV per atom) = 0.186
- calculated density (g/cm³) = 9.4

Lattice parameters (Å, degrees): 6.700 6.700 6.700 153.56 153.56 37.73
Each line ends with the local moment (μB).
Sites, in units of the cell vectors:
Br: 0.710 0.710 0.000  0.21
Au: 0.961 0.961 0.000  0.02
Ni: 0.329 0.329 0.000  0.80


[4]
Material: KCd2CuSb
Method: DFT, GGA-PBE
State: optimized geometry

Summary:
- calculated density (g/cm³) = 5.3
- total energy (eV/atom) = -2.21

Lattice parameters (Å, degrees): 5.158 5.158 5.255 90.00 90.00 90.00
Sites, in units of the cell vectors:
Cu: 0.000 0.000 0.000
Cd: 0.500 0.000 0.000
Sb: 0.000 0.000 0.500
Cd: 0.000 0.500 0.000
K: 0.500 0.500 0.500


[5]
Material: CsK2InCl6
Method: DFT, GGA-PBE
State: optimized geometry

Summary:
- relative energy among the computed polymorphs (eV per atom) = 0.094
- calculated density (g/cm³) = 2.3

Lattice parameters (Å, degrees): 8.144 8.144 8.144 60.00 60.00 60.00
Sites, in units of the cell vectors:
K: 0.250 0.250 0.250
Cs: 0.500 0.500 0.500
K: 0.750 0.750 0.750
Cl: 0.221 0.779 0.221
Cl: 0.221 0.779 0.779
Cl: 0.779 0.221 0.779
Cl: 0.779 0.779 0.221
In: 0.000 0.000 0.000
Cl: 0.779 0.221 0.221
Cl: 0.221 0.221 0.779


[6]
Material: CaLa2Ru
Method: DFT, GGA-PBE
State: optimized geometry

Summary:
- relative energy among the computed polymorphs (eV per atom) = 0.575
- calculated density (g/cm³) = 6.5
- E_form (eV per atom) = 0.369

Lattice parameters (Å, degrees): 6.058 6.058 3.474 77.32 77.32 112.84
Sites, in units of the cell vectors:
La: 0.500 0.500 0.000
Ru: 0.500 0.000 0.500
Ca: 0.000 0.500 0.500
La: 0.000 0.000 0.000


[7]
Material: CaYAl2Ga2
Method: DFT, GGA-PBE
State: optimized geometry

Summary:
- calculated density (g/cm³) = 4.0
- E_form (eV per atom) = -0.478

Lattice parameters (Å, degrees): 4.390 4.390 7.948 90.00 90.00 120.00
Sites, in units of the cell vectors:
Ga: 0.667 0.333 0.736
Al: 0.667 0.333 0.264
Ga: 0.333 0.667 0.264
Al: 0.333 0.667 0.736
Y: 0.000 0.000 0.500
Ca: 0.000 0.000 0.000


[8]
Material: La8Pr3Sm2
Method: DFT, GGA-PBE
State: optimized geometry

Summary:
- relative energy among the computed polymorphs (eV per atom) = 0.045
- calculated density (g/cm³) = 6.3
- E_form (eV per atom) = 0.177

Lattice parameters (Å, degrees): 5.957 7.766 11.150 110.38 90.04 90.00
Sites, in units of the cell vectors:
Pr: 0.500 0.000 0.000
La: 0.500 0.190 0.789
La: 0.999 0.136 0.273
La: 0.001 0.675 0.350
La: 0.500 0.599 0.789
La: 0.999 0.325 0.650
Sm: 0.502 0.757 0.515
Pr: 0.000 0.718 0.000
La: 0.001 0.864 0.727
La: 0.500 0.810 0.211
Sm: 0.498 0.243 0.485
Pr: 0.000 0.282 0.000
La: 0.500 0.401 0.211